A plane-wave DFT calculation with PBE-GGA was carried out for a geometry-optimized YZrAu2 structure.

Unit cell a=5.472 b=5.472 c=5.081 alpha=76.95 beta=76.95 gamma=36.50
Each line ends with the local moment (μB).
Sites, in units of the cell vectors:
Au1 0.994 0.994 0.961  0.02
Au2 0.260 0.260 0.275  0.02
Y1 0.510 0.510 0.455  0.13
Zr1 0.736 0.736 0.809  0.39

Results
The calculation puts the density of states at the Fermi level at 3.63 states/eV/cell. As for the volume: 21.98 A^3/atom. The calculated total energy is -23.586 eV for the cell shown. The energy above the most stable polymorph in this dataset is 142 meV/atom. As for the formation energy: -2.02 eV per formula unit.